# 1
Computed, not measured: an optimized crystal structure of Zn2GaGeSe at the PBE level of DFT.

Unit cell a=4.686 b=5.134 c=4.686 alpha=90.00 beta=90.00 gamma=90.00
Atoms (fractional coordinates):
Ge (0.000, 0.500, 0.000)
Ga (0.000, 0.000, 0.000)
Se (0.500, 0.500, 0.500)
Zn (0.500, 0.000, 0.000)
Zn (0.000, 0.000, 0.500)

As for the total energy: -2.4221 eV/atom. Its energy relative to the elements, uncorrected is 313 meV/atom.

***

# 2
Computed, not measured: an optimized crystal structure of GaSi3Ge at the PBE level of DFT.

Unit cell a=4.790 b=4.790 c=4.790 alpha=90.00 beta=90.00 gamma=90.00
Atoms (fractional coordinates):
Ga (0.500, 0.500, 0.500)
Si (0.500, 0.000, 0.000)
Si (0.000, 0.500, 0.000)
Si (0.000, 0.000, 0.500)
Ge (0.000, 0.000, 0.000)

As for the total energy: -3.7887 eV/atom. The relative energy among the computed polymorphs is 0 meV/atom. Its energy relative to the elements, uncorrected is 994 meV/atom.

***

Which of these has the highest energy relative to the elements, uncorrected? GaSi3Ge